[1]
Entry from Alexandria via LeMat-Bulk: crystalline TmTh4Sc8 at its relaxed geometry (PBE).

Structure (POSCAR):
```
TmTh4Sc8
1.0
-1.154 -6.881 -1.375
4.099 1.888 5.496
-7.201 4.090 3.966
Tm Th Sc
1 4 8
Direct
0.000 0.500 0.500
0.000 0.000 0.000
0.000 0.500 0.000
0.500 0.500 0.000
0.500 0.000 0.000
0.563 0.782 0.345
0.437 0.218 0.655
0.493 0.247 0.317
0.930 0.177 0.683
0.507 0.753 0.683
0.930 0.753 0.683
0.070 0.247 0.317
0.070 0.823 0.317
```

Uncorrected energy: -6.293 eV/atom
E_form: 230 meV/atom

=====

[2]
Entry from Alexandria via LeMat-Bulk: crystalline Tm4ThSc8 at its relaxed geometry (PBE).

Structure (POSCAR):
```
Tm4ThSc8
1.0
-5.237 -0.329 5.126
2.665 -6.438 2.294
4.400 3.509 4.706
Tm Th Sc
4 1 8
Direct
0.500 0.000 0.500
0.000 0.500 0.500
0.500 0.500 0.000
0.000 0.000 0.000
0.500 0.500 0.500
0.240 0.759 0.240
0.760 0.760 0.241
0.760 0.241 0.760
0.241 0.760 0.760
0.760 0.760 0.760
0.240 0.240 0.240
0.759 0.240 0.240
0.240 0.240 0.759
```

Uncorrected energy: -5.259 eV/atom
E_form: 583 meV/atom

=====

[3]
Entry from Alexandria via LeMat-Bulk: crystalline Tm6Th2Sc at its relaxed geometry (PBE).

Structure (POSCAR):
```
Tm6Th2Sc
1.0
-1.343 1.454 -4.556
4.624 3.087 2.330
-11.806 -24.027 -4.190
Tm Th Sc
6 2 1
Direct
0.227 0.453 0.445
0.773 0.547 0.555
0.895 0.791 0.780
0.554 0.108 0.110
0.105 0.209 0.220
0.446 0.892 0.890
0.660 0.321 0.331
0.340 0.679 0.669
0.000 0.000 0.000
```

Uncorrected energy: -5.290 eV/atom
E above lowest polymorph: 0.000 eV/atom
E_form: 43 meV/atom

=====

Taking the records one at a time from the top gives size of the total moment values of 0.0, 2.7, 0.0 μB per formula unit.